1.
This record from Alexandria via LeMat-Bulk describes a relaxed SrMo2P crystal. The functional is PBE-GGA.

Cell: 3.277 5.445 9.116 Å, 90.00 90.00 90.00°
Space group Imm2 (No. 44)
Symmetry-distinct sites (fractional):
Sr 0.000 0.000 0.000 [2 per cell]
Mo 0.000 0.000 0.490 [2 per cell]
Mo 0.000 0.500 0.199 [2 per cell]
P 0.000 0.500 0.779 [2 per cell]

Summary:
Formation enthalpy at 0 K = 0.61 eV/atom

---

2.
This record from Alexandria via LeMat-Bulk describes a relaxed MgCd2 crystal. The functional is PBE-GGA.

Cell: 6.757 6.757 6.757 Å, 90.00 90.00 90.00°
Space group Fm-3m (No. 225)
Symmetry-distinct sites (fractional):
Mg 0.000 0.000 0.000 [4 per cell]
Cd 0.250 0.250 0.250 [8 per cell]

Summary:
Formation enthalpy at 0 K = 0.10 eV/atom

---

3.
This record from Alexandria via LeMat-Bulk describes a relaxed LaNp5S6 crystal. The functional is PBE-GGA.

Cell: 6.833 11.822 6.852 Å, 90.00 109.36 90.00°
Space group C2/m (No. 12)
Symmetry-distinct sites (fractional):
La 0.000 0.000 0.000 [2 per cell]
Np 0.000 0.163 0.500 [4 per cell]
Np 0.000 0.332 0.000 [4 per cell]
Np 0.000 0.500 0.500 [2 per cell]
S 0.238 0.500 0.254 [4 per cell]
S 0.241 0.328 0.740 [8 per cell]

Summary:
Raw formation energy = -1487.1 meV per atom

---

4.
This record from Alexandria via LeMat-Bulk describes a relaxed CaPAu crystal. The functional is PBE-GGA.

Cell: 4.174 4.174 14.960 Å, 90.00 90.00 90.00°
Space group I-4m2 (No. 119)
Symmetry-distinct sites (fractional):
Ca 0.000 0.000 0.000 [2 per cell]
Ca 0.000 0.500 0.250 [2 per cell]
P 0.000 0.500 0.674 [4 per cell]
Au 0.000 0.000 0.410 [4 per cell]

Summary:
Formation enthalpy at 0 K = -0.79 eV/atom

---

5.
This record from Alexandria via LeMat-Bulk describes a relaxed La2SiRu crystal. The functional is PBE-GGA.

Cell: 4.473 5.142 8.249 Å, 90.00 90.00 90.00°
Space group Immm (No. 71)
Symmetry-distinct sites (fractional):
La 0.000 0.000 0.224 [4 per cell]
Si 0.000 0.500 0.000 [2 per cell]
Ru 0.000 0.500 0.500 [2 per cell]

Summary:
Raw formation energy = -262.2 meV per atom

---

6.
This record from Alexandria via LeMat-Bulk describes a relaxed RbIn2GaCo crystal. The functional is PBE-GGA.

Cell: 5.097 5.097 4.807 Å, 90.00 90.00 90.00°
Space group P4/mmm (No. 123)
Symmetry-distinct sites (fractional):
Rb 0.000 0.000 0.000 [1 per cell]
In 0.000 0.500 0.500 [2 per cell]
Ga 0.500 0.500 0.000 [1 per cell]
Co 0.500 0.500 0.500 [1 per cell]

Summary:
Formation enthalpy at 0 K = -0.03 eV/atom

---

7.
This record from Alexandria via LeMat-Bulk describes a relaxed Ac8Pt4Au crystal. The functional is PBE-GGA.

Cell: 21.615 4.496 14.855 Å, 90.00 132.36 90.00°
Space group Cm (No. 8)
Symmetry-distinct sites (fractional):
Ac 0.000 0.000 0.000 [2 per cell]
Ac 0.015 0.000 0.739 [2 per cell]
Ac 0.121 0.500 0.621 [2 per cell]
Ac 0.205 0.500 0.060 [2 per cell]
Ac 0.299 0.000 0.932 [2 per cell]
Ac 0.322 0.000 0.672 [2 per cell]
Ac 0.364 0.000 0.402 [2 per cell]
Ac 0.459 0.500 0.277 [2 per cell]
Pt 0.014 0.500 0.879 [2 per cell]
Pt 0.311 0.500 0.805 [2 per cell]
Pt 0.332 0.000 0.166 [2 per cell]
Pt 0.496 0.500 0.511 [2 per cell]
Au 0.317 0.500 0.508 [2 per cell]

Summary:
Formation enthalpy at 0 K = -0.78 eV/atom

---

8.
This record from Alexandria via LeMat-Bulk describes a relaxed AlGa2Re crystal. The functional is PBE-GGA.

Cell: 7.400 7.400 5.167 Å, 90.00 90.00 90.00°
Space group I-42d (No. 122)
Symmetry-distinct sites (fractional):
Al 0.000 0.000 0.000 [4 per cell]
Ga 0.219 0.250 0.625 [8 per cell]
Re 0.000 0.000 0.500 [4 per cell]

Summary:
Formation enthalpy at 0 K = 0.50 eV/atom

---

9.
This record from Alexandria via LeMat-Bulk describes a relaxed Hf12MnBi6 crystal. The functional is PBE-GGA.

Cell: 12.4398 12.4398 10.8272 Å, 90.00 90.00 120.00°
Space group R-3 (No. 148, hexagonal axes)
Symmetry-distinct sites (fractional):
Hf 0.0253 0.1540 0.3779 [18 per cell]
Hf 0.0723 0.1821 0.8738 [18 per cell]
Mn 0.0000 0.0000 0.0000 [3 per cell]
Bi 0.0303 0.2979 0.6318 [18 per cell]

Summary:
Formation enthalpy at 0 K = 0.13 eV/atom

---

10.
This record from Alexandria via LeMat-Bulk describes a relaxed Ba3Se5 crystal. The functional is PBE-GGA.

Cell: 9.8553 9.8553 6.4518 Å, 90.00 90.00 120.00°
Space group P6_3/mcm (No. 193)
Symmetry-distinct sites (fractional):
Ba 0.0000 0.3555 0.2500 [6 per cell]
Se 0.0000 0.3104 0.7500 [6 per cell]
Se 0.3333 0.6667 0.0000 [4 per cell]

Summary:
Raw formation energy = -1235.8 meV per atom
E above lowest polymorph = 83 meV/atom

---

11.
This record from Alexandria via LeMat-Bulk describes a relaxed MgTa2Te crystal. The functional is PBE-GGA.

Cell: 3.502 4.983 9.287 Å, 90.00 90.00 90.00°
Space group Cmmm (No. 65)
Symmetry-distinct sites (fractional):
Mg 0.000 0.000 0.000 [2 per cell]
Ta 0.000 0.500 0.260 [4 per cell]
Te 0.000 0.000 0.500 [2 per cell]

Summary:
Raw formation energy = 525.1 meV per atom
E above lowest polymorph = 410 meV/atom

---

12.
This record from Alexandria via LeMat-Bulk describes a relaxed ZrAlTc2 crystal. The functional is PBE-GGA.

Cell: 2.800 4.317 5.473 Å, 90.00 98.41 90.00°
Space group P2/m (No. 10)
Symmetry-distinct sites (fractional):
Zr 0.000 0.000 0.000 [1 per cell]
Al 0.500 0.000 0.500 [1 per cell]
Tc 0.211 0.500 0.728 [2 per cell]

Summary:
Formation enthalpy at 0 K = -0.16 eV/atom

---

Number 1: E -6.57 eV per atom. Number 2: E -1.04 eV per atom. Number 3: E -9.35 eV per atom. Number 4: E -4.35 eV per atom. Number 5: E -6.40 eV per atom. Number 6: E -3.34 eV per atom. Number 7: E -5.42 eV per atom. Number 8: E -5.06 eV per atom. Number 9: E -7.86 eV per atom. Number 10: E -4.13 eV per atom. Number 11: E -6.59 eV per atom. Number 12: E -8.42 eV per atom.